Entry 1:
Pu2CoF11 | GGA+U | optimized geometry

Structure (CIF):
```
data_Pu2CoF11
_symmetry_space_group_name_H-M 'C 1 2/c 1'
_symmetry_Int_Tables_number 15
_cell_length_a 13.494
_cell_length_b 8.852
_cell_length_c 9.651
_cell_angle_alpha 90.00
_cell_angle_beta 130.25
_cell_angle_gamma 90.00
loop_
_symmetry_equiv_pos_as_xyz
'x,y,z'
'-x,-y,-z'
'-x,y,-z+1/2'
'x,-y,z+1/2'
'x+1/2,y+1/2,z'
'-x+1/2,-y+1/2,-z'
'-x+1/2,y+1/2,-z+1/2'
'x+1/2,-y+1/2,z+1/2'
loop_
_atom_site_label
_atom_site_type_symbol
_atom_site_fract_x
_atom_site_fract_y
_atom_site_fract_z
Pu1 Pu 0.242 0.128 0.198
Co1 Co 0.000 0.338 0.250
F1 F 0.073 0.074 0.953
F2 F 0.089 0.336 0.525
F3 F 0.124 0.493 0.815
F4 F 0.128 0.193 0.277
F5 F 0.239 0.102 0.770
F6 F 0.250 0.250 0.000
```

Values from the calculation:
electronic total energy = -6.8812 eV/atom
calculated density = 5.71 g cm⁻³
DOS at the Fermi energy = 70.44 states/eV/cell


Entry 2:
PuCoF5 | GGA+U | optimized geometry

Structure (CIF):
```
data_PuCoF5
_symmetry_space_group_name_H-M 'C 1 2/c 1'
_symmetry_Int_Tables_number 15
_cell_length_a 9.309
_cell_length_b 6.796
_cell_length_c 7.913
_cell_angle_alpha 90.00
_cell_angle_beta 114.90
_cell_angle_gamma 90.00
loop_
_symmetry_equiv_pos_as_xyz
'x,y,z'
'-x,-y,-z'
'-x,y,-z+1/2'
'x,-y,z+1/2'
'x+1/2,y+1/2,z'
'-x+1/2,-y+1/2,-z'
'-x+1/2,y+1/2,-z+1/2'
'x+1/2,-y+1/2,z+1/2'
loop_
_atom_site_label
_atom_site_type_symbol
_atom_site_fract_x
_atom_site_fract_y
_atom_site_fract_z
Pu1 Pu 0.000 0.049 0.250
Co1 Co 0.000 0.500 0.000
F1 F 0.000 0.405 0.250
F2 F 0.012 0.193 0.972
F3 F 0.236 0.475 0.623
```

Values from the calculation:
electronic total energy = -7.0620 eV/atom
calculated density = 5.82 g cm⁻³
DOS at the Fermi energy = 30.47 states/eV/cell


Entry 3:
Pu2CoF8 | GGA+U | optimized geometry

Structure (CIF):
```
data_Pu2CoF8
_symmetry_space_group_name_H-M 'P 1'
_symmetry_Int_Tables_number 1
_cell_length_a 4.075
_cell_length_b 6.438
_cell_length_c 7.271
_cell_angle_alpha 79.43
_cell_angle_beta 88.67
_cell_angle_gamma 78.05
loop_
_symmetry_equiv_pos_as_xyz
'x,y,z'
loop_
_atom_site_label
_atom_site_type_symbol
_atom_site_fract_x
_atom_site_fract_y
_atom_site_fract_z
Pu1 Pu 0.000 0.000 0.000
Pu2 Pu 0.476 0.051 0.485
Co1 Co 0.325 0.486 0.762
F1 F 0.245 0.658 0.965
F2 F 0.285 0.396 0.515
F3 F 0.464 0.120 0.834
F4 F 0.525 0.922 0.183
F5 F 0.576 0.699 0.608
F6 F 0.889 0.369 0.872
F7 F 0.955 0.124 0.298
F8 F 0.995 0.990 0.660
```

Values from the calculation:
electronic total energy = -7.5499 eV/atom
calculated density = 6.33 g cm⁻³
DOS at the Fermi energy = 17.24 states/eV/cell


Entry 4:
PuCoF2 | GGA+U | optimized geometry

Structure (CIF):
```
data_PuCoF2
_symmetry_space_group_name_H-M 'R -3 m'
_symmetry_Int_Tables_number 166
_symmetry_space_group_name_Hall '-R 3 2"'
_cell_length_a 3.2131
_cell_length_b 3.2131
_cell_length_c 26.9493
_cell_angle_alpha 90.00
_cell_angle_beta 90.00
_cell_angle_gamma 120.00
loop_
_atom_site_label
_atom_site_type_symbol
_atom_site_fract_x
_atom_site_fract_y
_atom_site_fract_z
Pu1 Pu 0.0000 0.0000 0.0000
Co1 Co 0.0000 0.0000 0.5000
F1 F 0.0000 0.0000 0.2751
```

Values from the calculation:
electronic total energy = -6.9883 eV/atom
calculated density = 7.05 g cm⁻³
DOS at the Fermi energy = 20.41 states/eV/cell


Entry 5:
RbCo2F | GGA+U | optimized geometry

Structure (CIF):
```
data_RbCo2F
_symmetry_space_group_name_H-M 'I 41/a m d'
_symmetry_Int_Tables_number 141
_cell_length_a 4.779
_cell_length_b 4.779
_cell_length_c 18.445
_cell_angle_alpha 90.00
_cell_angle_beta 90.00
_cell_angle_gamma 90.00
loop_
_symmetry_equiv_pos_as_xyz
'x,y,z'
'-x,-y,-z'
'-y+1/4,x+3/4,z+1/4'
'y+1/4,-x+3/4,-z+1/4'
'-x+1/2,-y,z+1/2'
'x+1/2,y,-z+1/2'
'y+1/4,-x+1/4,z+3/4'
'-y+1/4,x+1/4,-z+3/4'
'x,-y,-z'
'-x,y,z'
'-y+1/4,-x+1/4,-z+3/4'
'y+1/4,x+1/4,z+3/4'
'-x+1/2,y,-z+1/2'
'x+1/2,-y,z+1/2'
'y+1/4,x+3/4,-z+1/4'
'-y+1/4,-x+3/4,z+1/4'
'x+1/2,y+1/2,z+1/2'
'-x+1/2,-y+1/2,-z+1/2'
'-y+3/4,x+1/4,z+3/4'
'y+3/4,-x+1/4,-z+3/4'
'-x,-y+1/2,z'
'x,y+1/2,-z'
'y+3/4,-x+3/4,z+1/4'
'-y+3/4,x+3/4,-z+1/4'
'x+1/2,-y+1/2,-z+1/2'
'-x+1/2,y+1/2,z+1/2'
'-y+3/4,-x+3/4,-z+1/4'
'y+3/4,x+3/4,z+1/4'
'-x,y+1/2,-z'
'x,-y+1/2,z'
'y+3/4,x+1/4,-z+3/4'
'-y+3/4,-x+1/4,z+3/4'
loop_
_atom_site_label
_atom_site_type_symbol
_atom_site_fract_x
_atom_site_fract_y
_atom_site_fract_z
Rb1 Rb 0.000 0.250 0.375
Co1 Co 0.000 0.000 0.000
F1 F 0.000 0.250 0.875
```

Values from the calculation:
electronic total energy = -3.1291 eV/atom
calculated density = 3.51 g cm⁻³
DOS at the Fermi energy = 5.73 states/eV/cell


Entry 6:
Rb3CoF8 | GGA+U | optimized geometry

Structure (CIF):
```
data_Rb3CoF8
_symmetry_space_group_name_H-M 'I 4/m m m'
_symmetry_Int_Tables_number 139
_symmetry_space_group_name_Hall '-I 4 2'
_cell_length_a 6.134
_cell_length_b 6.134
_cell_length_c 11.852
_cell_angle_alpha 90.00
_cell_angle_beta 90.00
_cell_angle_gamma 90.00
loop_
_atom_site_label
_atom_site_type_symbol
_atom_site_fract_x
_atom_site_fract_y
_atom_site_fract_z
Rb1 Rb 0.000 0.000 0.000
Rb2 Rb 0.000 0.500 0.250
Co1 Co 0.000 0.000 0.500
F1 F 0.194 0.194 0.400
```

Values from the calculation:
electronic total energy = -3.8369 eV/atom
calculated density = 3.48 g cm⁻³
DOS at the Fermi energy = 17.76 states/eV/cell


Entry 7:
RbCo2F2 | GGA+U | optimized geometry

Structure (CIF):
```
data_RbCo2F2
_symmetry_space_group_name_H-M 'P 4/m b m'
_symmetry_Int_Tables_number 127
_symmetry_space_group_name_Hall '-P 4 2ab'
_cell_length_a 8.174
_cell_length_b 8.174
_cell_length_c 3.012
_cell_angle_alpha 90.00
_cell_angle_beta 90.00
_cell_angle_gamma 90.00
loop_
_atom_site_label
_atom_site_type_symbol
_atom_site_fract_x
_atom_site_fract_y
_atom_site_fract_z
Rb1 Rb 0.000 0.000 0.000
Co1 Co 0.098 0.402 0.000
F1 F 0.221 0.279 0.500
```

Values from the calculation:
electronic total energy = -3.7370 eV/atom
calculated density = 3.98 g cm⁻³
DOS at the Fermi energy = 9.74 states/eV/cell


Entry 8:
Rb3CoF | GGA+U | optimized geometry

Structure (CIF):
```
data_Rb3CoF
_symmetry_space_group_name_H-M 'P m -3 m'
_symmetry_Int_Tables_number 221
_symmetry_space_group_name_Hall '-P 4 2 3'
_cell_length_a 5.748
_cell_length_b 5.748
_cell_length_c 5.748
_cell_angle_alpha 90.00
_cell_angle_beta 90.00
_cell_angle_gamma 90.00
loop_
_atom_site_label
_atom_site_type_symbol
_atom_site_fract_x
_atom_site_fract_y
_atom_site_fract_z
Rb1 Rb 0.000 0.000 0.500
Co1 Co 0.500 0.500 0.500
F1 F 0.000 0.000 0.000
```

Values from the calculation:
electronic total energy = -2.6009 eV/atom
calculated density = 2.92 g cm⁻³
DOS at the Fermi energy = 2.99 states/eV/cell


Entry 9:
Rb5Co2F12 | GGA+U | optimized geometry

Structure (CIF):
```
data_Rb5Co2F12
_symmetry_space_group_name_H-M 'C 1 2/m 1'
_symmetry_Int_Tables_number 12
_cell_length_a 12.713
_cell_length_b 8.877
_cell_length_c 6.639
_cell_angle_alpha 90.00
_cell_angle_beta 104.73
_cell_angle_gamma 90.00
loop_
_symmetry_equiv_pos_as_xyz
'x,y,z'
'-x,-y,-z'
'-x,y,-z'
'x,-y,z'
'x+1/2,y+1/2,z'
'-x+1/2,-y+1/2,-z'
'-x+1/2,y+1/2,-z'
'x+1/2,-y+1/2,z'
loop_
_atom_site_label
_atom_site_type_symbol
_atom_site_fract_x
_atom_site_fract_y
_atom_site_fract_z
Rb1 Rb 0.000 0.000 0.000
Rb2 Rb 0.138 0.500 0.997
Rb3 Rb 0.243 0.500 0.538
Co1 Co 0.000 0.196 0.500
F1 F 0.028 0.500 0.369
F2 F 0.080 0.000 0.640
F3 F 0.091 0.204 0.300
F4 F 0.121 0.275 0.703
```

Values from the calculation:
electronic total energy = -4.1749 eV/atom
calculated density = 3.54 g cm⁻³


Entry 10:
Rb3CoF8 | GGA+U | optimized geometry

Structure (CIF):
```
data_Rb3CoF8
_symmetry_space_group_name_H-M 'P 63 m c'
_symmetry_Int_Tables_number 186
_symmetry_space_group_name_Hall 'P 6c -2c'
_cell_length_a 8.3333
_cell_length_b 8.3333
_cell_length_c 7.3116
_cell_angle_alpha 90.00
_cell_angle_beta 90.00
_cell_angle_gamma 120.00
loop_
_atom_site_label
_atom_site_type_symbol
_atom_site_fract_x
_atom_site_fract_y
_atom_site_fract_z
Rb1 Rb 0.1592 0.3183 0.0000
Co1 Co 0.3333 0.6667 0.4350
F1 F 0.0000 0.0000 0.2543
F2 F 0.1285 0.5643 0.2930
F3 F 0.2290 0.4580 0.5714
F4 F 0.3333 0.6667 0.8987
```

Values from the calculation:
electronic total energy = -4.0097 eV/atom
calculated density = 3.53 g cm⁻³
DOS at the Fermi energy = 33.20 states/eV/cell


Entry 11:
Rb4CoF6 | GGA+U | optimized geometry

Structure (CIF):
```
data_Rb4CoF6
_symmetry_space_group_name_H-M 'R -3 c'
_symmetry_Int_Tables_number 167
_symmetry_space_group_name_Hall '-R 3 2"c'
_cell_length_a 10.6698
_cell_length_b 10.6698
_cell_length_c 13.3587
_cell_angle_alpha 90.00
_cell_angle_beta 90.00
_cell_angle_gamma 120.00
loop_
_atom_site_label
_atom_site_type_symbol
_atom_site_fract_x
_atom_site_fract_y
_atom_site_fract_z
Rb1 Rb 0.0000 0.0000 0.2500
Rb2 Rb 0.0000 0.3664 0.2500
Co1 Co 0.0000 0.0000 0.0000
F1 F 0.0219 0.1710 0.4095
```

Values from the calculation:
electronic total energy = -4.3203 eV/atom
calculated density = 3.89 g cm⁻³
DOS at the Fermi energy = 41.60 states/eV/cell


Entry 12:
RbCo2F6 | GGA+U | optimized geometry

Structure (CIF):
```
data_RbCo2F6
_symmetry_space_group_name_H-M 'P -3 1 m'
_symmetry_Int_Tables_number 162
_symmetry_space_group_name_Hall '-P 3 2'
_cell_length_a 5.3919
_cell_length_b 5.3919
_cell_length_c 6.0351
_cell_angle_alpha 90.00
_cell_angle_beta 90.00
_cell_angle_gamma 120.00
loop_
_atom_site_label
_atom_site_type_symbol
_atom_site_fract_x
_atom_site_fract_y
_atom_site_fract_z
Rb1 Rb 0.0000 0.0000 0.0000
Co1 Co 0.3333 0.6667 0.5000
F1 F 0.0000 0.3903 0.6813
```

Values from the calculation:
electronic total energy = -4.6908 eV/atom
calculated density = 3.47 g cm⁻³
DOS at the Fermi energy = 5.67 states/eV/cell


Entry 13:
Rb3Co5F12 | GGA+U | optimized geometry

Structure (CIF):
```
data_Rb3Co5F12
_symmetry_space_group_name_H-M 'I a -3 d'
_symmetry_Int_Tables_number 230
_symmetry_space_group_name_Hall '-I 4bd 2c 3'
_cell_length_a 13.839
_cell_length_b 13.839
_cell_length_c 13.839
_cell_angle_alpha 90.00
_cell_angle_beta 90.00
_cell_angle_gamma 90.00
loop_
_atom_site_label
_atom_site_type_symbol
_atom_site_fract_x
_atom_site_fract_y
_atom_site_fract_z
Rb1 Rb 0.000 0.250 0.125
Co1 Co 0.000 0.000 0.000
Co2 Co 0.000 0.250 0.375
F1 F 0.040 0.044 0.646
```

Values from the calculation:
electronic total energy = -4.6829 eV/atom
calculated density = 3.91 g cm⁻³
DOS at the Fermi energy = 117.30 states/eV/cell


Entry 14:
Rb2CoF | GGA+U | optimized geometry

Structure (CIF):
```
data_Rb2CoF
_symmetry_space_group_name_H-M 'I -4 2 d'
_symmetry_Int_Tables_number 122
_symmetry_space_group_name_Hall 'I -4 2bw'
_cell_length_a 8.108
_cell_length_b 8.108
_cell_length_c 9.472
_cell_angle_alpha 90.00
_cell_angle_beta 90.00
_cell_angle_gamma 90.00
loop_
_atom_site_label
_atom_site_type_symbol
_atom_site_fract_x
_atom_site_fract_y
_atom_site_fract_z
Rb1 Rb 0.162 0.750 0.125
Co1 Co 0.000 0.000 0.500
F1 F 0.000 0.000 0.000
```

Values from the calculation:
electronic total energy = -2.6462 eV/atom
calculated density = 2.65 g cm⁻³
DOS at the Fermi energy = 31.75 states/eV/cell


Entry 15:
Rb2CoF7 | GGA+U | optimized geometry

Structure (CIF):
```
data_Rb2CoF7
_symmetry_space_group_name_H-M 'C 1 2/c 1'
_symmetry_Int_Tables_number 15
_cell_length_a 14.061
_cell_length_b 6.058
_cell_length_c 10.798
_cell_angle_alpha 90.00
_cell_angle_beta 130.22
_cell_angle_gamma 90.00
loop_
_symmetry_equiv_pos_as_xyz
'x,y,z'
'-x,-y,-z'
'-x,y,-z+1/2'
'x,-y,z+1/2'
'x+1/2,y+1/2,z'
'-x+1/2,-y+1/2,-z'
'-x+1/2,y+1/2,-z+1/2'
'x+1/2,-y+1/2,z+1/2'
loop_
_atom_site_label
_atom_site_type_symbol
_atom_site_fract_x
_atom_site_fract_y
_atom_site_fract_z
Rb1 Rb 0.145 0.208 0.056
Co1 Co 0.000 0.266 0.250
F1 F 0.000 0.413 0.750
F2 F 0.073 0.268 0.460
F3 F 0.100 0.021 0.278
F4 F 0.154 0.401 0.303
```

Values from the calculation:
electronic total energy = -3.9194 eV/atom
calculated density = 3.43 g cm⁻³


Entry 16:
RbCo2F2 | GGA+U | optimized geometry

Structure (CIF):
```
data_RbCo2F2
_symmetry_space_group_name_H-M 'I 4/m m m'
_symmetry_Int_Tables_number 139
_symmetry_space_group_name_Hall '-I 4 2'
_cell_length_a 4.330
_cell_length_b 4.330
_cell_length_c 9.084
_cell_angle_alpha 90.00
_cell_angle_beta 90.00
_cell_angle_gamma 90.00
loop_
_atom_site_label
_atom_site_type_symbol
_atom_site_fract_x
_atom_site_fract_y
_atom_site_fract_z
Rb1 Rb 0.000 0.000 0.000
Co1 Co 0.000 0.000 0.358
F1 F 0.000 0.500 0.250
```

Values from the calculation:
electronic total energy = -3.6806 eV/atom
calculated density = 4.71 g cm⁻³
DOS at the Fermi energy = 17.66 states/eV/cell


Entry 17:
RbCo2F | GGA+U | optimized geometry

Structure (CIF):
```
data_RbCo2F
_symmetry_space_group_name_H-M 'F m -3 m'
_symmetry_Int_Tables_number 225
_symmetry_space_group_name_Hall '-F 4 2 3'
_cell_length_a 7.634
_cell_length_b 7.634
_cell_length_c 7.634
_cell_angle_alpha 90.00
_cell_angle_beta 90.00
_cell_angle_gamma 90.00
loop_
_atom_site_label
_atom_site_type_symbol
_atom_site_fract_x
_atom_site_fract_y
_atom_site_fract_z
Rb1 Rb 0.000 0.000 0.000
Co1 Co 0.250 0.250 0.250
F1 F 0.000 0.000 0.500
```

Values from the calculation:
electronic total energy = -2.2775 eV/atom
calculated density = 3.32 g cm⁻³
DOS at the Fermi energy = 26.53 states/eV/cell